Record 1
Mg6MnCoO8: optimized geometry, PBE with a Hubbard U.

```
data_Mg6MnCoO8
_chemical_formula_sum 'Mg6 Mn1 Co1 O8'
_space_group_name_H-M_alt 'P 4/m m m'
_space_group_IT_number 123
_space_group_name_Hall '-P 4 2'
_cell_length_a 4.285
_cell_length_b 4.285
_cell_length_c 8.643
_cell_angle_alpha 90.00
_cell_angle_beta 90.00
_cell_angle_gamma 90.00
loop_
_atom_site_label
_atom_site_type_symbol
_atom_site_fract_x
_atom_site_fract_y
_atom_site_fract_z
_atom_site_occupancy
Mg1 Mg 0.000 0.000 0.000 1
Mg2 Mg 0.000 0.500 0.247 1
Mg3 Mg 0.500 0.500 0.000 1
Mn1 Mn 0.000 0.000 0.500 1
Co1 Co 0.500 0.500 0.500 1
O1 O 0.000 0.000 0.243 1
O2 O 0.000 0.500 0.000 1
O3 O 0.000 0.500 0.500 1
O4 O 0.500 0.500 0.245 1
```

Summary:
Electronic total energy ... -6.200 eV/atom
Fermi-level density of states ... 0.04 states/eV per atom
Total moment ... 7.936 μB per formula unit
E above lowest polymorph ... 0.000 eV per atom



Record 2
Mg6MnCoO8: optimized geometry, PBE with a Hubbard U.

```
data_Mg6MnCoO8
_chemical_formula_sum 'Mg6 Mn1 Co1 O8'
_space_group_name_H-M_alt 'P 4/m m m'
_space_group_IT_number 123
_space_group_name_Hall '-P 4 2'
_cell_length_a 4.281
_cell_length_b 4.281
_cell_length_c 8.628
_cell_angle_alpha 90.00
_cell_angle_beta 90.00
_cell_angle_gamma 90.00
loop_
_atom_site_label
_atom_site_type_symbol
_atom_site_fract_x
_atom_site_fract_y
_atom_site_fract_z
_atom_site_occupancy
Mg1 Mg 0.000 0.000 0.000 1
Mg2 Mg 0.000 0.000 0.500 1
Mg3 Mg 0.000 0.500 0.244 1
Mn1 Mn 0.500 0.500 0.500 1
Co1 Co 0.500 0.500 0.000 1
O1 O 0.000 0.000 0.250 1
O2 O 0.000 0.500 0.000 1
O3 O 0.000 0.500 0.500 1
O4 O 0.500 0.500 0.247 1
```

Summary:
Electronic total energy ... -6.169 eV/atom
Fermi-level density of states ... 0.27 states/eV per atom
Total moment ... 7.695 μB per formula unit
E above lowest polymorph ... 0.031 eV per atom



Record 3
Mg14MnCoO16: optimized geometry, PBE with a Hubbard U.

```
data_Mg14MnCoO16
_chemical_formula_sum 'Mg14 Mn1 Co1 O16'
_space_group_name_H-M_alt 'P 4/m m m'
_space_group_IT_number 123
_space_group_name_Hall '-P 4 2'
_cell_length_a 8.567
_cell_length_b 8.567
_cell_length_c 4.253
_cell_angle_alpha 90.00
_cell_angle_beta 90.00
_cell_angle_gamma 90.00
loop_
_atom_site_label
_atom_site_type_symbol
_atom_site_fract_x
_atom_site_fract_y
_atom_site_fract_z
_atom_site_occupancy
Mg1 Mg 0.000 0.250 0.000 1
Mg2 Mg 0.000 0.500 0.500 1
Mg3 Mg 0.247 0.500 0.000 1
Mg4 Mg 0.248 0.248 0.500 1
Mn1 Mn 0.500 0.500 0.500 1
Co1 Co 0.000 0.000 0.500 1
O1 O 0.000 0.000 0.000 1
O2 O 0.000 0.254 0.500 1
O3 O 0.000 0.500 0.000 1
O4 O 0.244 0.500 0.500 1
O5 O 0.250 0.250 0.000 1
O6 O 0.500 0.500 0.000 1
```

Summary:
Electronic total energy ... -6.078 eV/atom
Fermi-level density of states ... 0.15 states/eV per atom
Total moment ... 7.798 μB per formula unit